[1]
First-principles (PBE) data for crystalline ZrMnAl2 at its relaxed geometry, as listed in Alexandria via LeMat-Bulk.

**Final energy**: -6.359 eV per atom
**Mass density**: 4.878 Mg/m³
**Total magnetization**: 2.7 Bohr magnetons per cell

a = 9.3722 Å, b = 9.3722 Å, c = 9.3722 Å
α = 17.93°, β = 17.93°, γ = 17.93°
Atoms (fractional coordinates):
Zr 0.0000 0.0000 0.0000
Mn 0.5000 0.5000 0.5000
Al 0.2404 0.2404 0.2404
Al 0.7596 0.7596 0.7596



[2]
First-principles (PBE) data for crystalline ZrHgPb2 at its relaxed geometry, as listed in Alexandria via LeMat-Bulk.

**Final energy**: -4.053 eV per atom
**Mass density**: 10.468 Mg/m³
**Total magnetization**: 0.0 Bohr magnetons per cell

a = 3.2347 Å, b = 3.2347 Å, c = 10.7067 Å
α = 90.00°, β = 90.00°, γ = 90.00°
Atoms (fractional coordinates):
Zr 0.0000 0.0000 0.0000
Hg 0.0000 0.0000 0.5000
Pb 0.5000 0.5000 0.2214
Pb 0.5000 0.5000 0.7786



[3]
First-principles (PBE) data for crystalline AcErSi at its relaxed geometry, as listed in Alexandria via LeMat-Bulk.

**Final energy**: -4.734 eV per atom
**Mass density**: 7.489 Mg/m³
**Formation energy (no corrections)**: -0.0360 eV/atom
**Total magnetization**: 0.0 Bohr magnetons per cell

a = 8.9740 Å, b = 8.9740 Å, c = 5.8857 Å
α = 90.00°, β = 90.00°, γ = 156.73°
Atoms (fractional coordinates):
Ac 0.1727 0.8272 0.7500
Ac 0.8272 0.1727 0.2500
Er 0.5000 0.5000 0.0000
Er 0.5000 0.5000 0.5000
Si 0.3543 0.6457 0.7500
Si 0.6457 0.3543 0.2500



[4]
First-principles (PBE) data for crystalline CdHgSe2 at its relaxed geometry, as listed in Alexandria via LeMat-Bulk.

**Final energy**: -1.983 eV per atom
**Mass density**: 7.205 Mg/m³
**Formation energy (no corrections)**: 0.0637 eV/atom
**Total magnetization**: 0.0 Bohr magnetons per cell

a = 3.8185 Å, b = 3.8185 Å, c = 7.4439 Å
α = 90.00°, β = 90.00°, γ = 90.00°
Atoms (fractional coordinates):
Cd 0.0000 0.0000 0.0000
Hg 0.0000 0.0000 0.5000
Se 0.5000 0.5000 0.1700
Se 0.5000 0.5000 0.8300



[5]
First-principles (PBE) data for crystalline CaTb7Pm12 at its relaxed geometry, as listed in Alexandria via LeMat-Bulk.

**Final energy**: -3.946 eV per atom
**Mass density**: 6.198 Mg/m³
**Total magnetization**: 0.0 Bohr magnetons per cell

a = 10.0222 Å, b = 10.0222 Å, c = 10.0222 Å
α = 109.47°, β = 109.47°, γ = 109.47°
Atoms (fractional coordinates):
Ca 0.0000 0.0000 0.0000
Tb 0.0000 0.0000 0.5000
Tb 0.0000 0.5000 0.0000
Tb 0.0000 0.5000 0.5000
Tb 0.5000 0.0000 0.0000
Tb 0.5000 0.0000 0.5000
Tb 0.5000 0.5000 0.0000
Tb 0.5000 0.5000 0.5000
Pm 0.0013 0.7442 0.2571
Pm 0.2558 0.2571 0.5129
Pm 0.2558 0.7429 0.9987
Pm 0.2571 0.0013 0.7442
Pm 0.2571 0.5129 0.2558
Pm 0.4871 0.7442 0.7429
Pm 0.5129 0.2558 0.2571
Pm 0.7429 0.4871 0.7442
Pm 0.7429 0.9987 0.2558
Pm 0.7442 0.2571 0.0013
Pm 0.7442 0.7429 0.4871
Pm 0.9987 0.2558 0.7429



[6]
First-principles (PBE) data for crystalline Tl2AgMo at its relaxed geometry, as listed in Alexandria via LeMat-Bulk.

**Final energy**: -3.913 eV per atom
**Mass density**: 12.086 Mg/m³
**Total magnetization**: 0.6 Bohr magnetons per cell

a = 3.0197 Å, b = 4.6198 Å, c = 6.0595 Å
α = 90.00°, β = 95.37°, γ = 90.00°
Atoms (fractional coordinates):
Tl 0.1856 0.0000 0.2408
Tl 0.8144 0.0000 0.7592
Ag 0.0000 0.5000 0.5000
Mo 0.5000 0.5000 0.0000



[7]
First-principles (PBE) data for crystalline AcInCl6 at its relaxed geometry, as listed in Alexandria via LeMat-Bulk.

**Final energy**: -3.945 eV per atom
**Mass density**: 3.717 Mg/m³
**Formation energy (no corrections)**: -1.7043 eV/atom
**Total magnetization**: 0.0 Bohr magnetons per cell

a = 7.3716 Å, b = 7.3716 Å, c = 7.3716 Å
α = 54.62°, β = 54.62°, γ = 54.62°
Atoms (fractional coordinates):
Ac 0.0000 0.0000 0.0000
In 0.5000 0.5000 0.5000
Cl 0.1070 0.4322 0.7259
Cl 0.2741 0.8930 0.5678
Cl 0.4322 0.7259 0.1070
Cl 0.5678 0.2741 0.8930
Cl 0.7259 0.1070 0.4322
Cl 0.8930 0.5678 0.2741



[8]
First-principles (PBE) data for crystalline HoErRh2 at its relaxed geometry, as listed in Alexandria via LeMat-Bulk.

**Final energy**: -6.882 eV per atom
**Mass density**: 11.354 Mg/m³
**Total magnetization**: 0.0 Bohr magnetons per cell

a = 4.8098 Å, b = 4.8098 Å, c = 4.8098 Å
α = 60.00°, β = 60.00°, γ = 60.00°
Atoms (fractional coordinates):
Ho 0.0000 0.0000 0.0000
Er 0.5000 0.5000 0.5000
Rh 0.2500 0.2500 0.2500
Rh 0.7500 0.7500 0.7500



[9]
First-principles (PBE) data for crystalline Nd3Tl4SnS8 at its relaxed geometry, as listed in Alexandria via LeMat-Bulk.

**Final energy**: -4.966 eV per atom
**Mass density**: 6.055 Mg/m³
**Formation energy (no corrections)**: -1.1666 eV/atom
**Total magnetization**: 0.0 Bohr magnetons per cell

a = 8.8824 Å, b = 8.8824 Å, c = 8.8824 Å
α = 55.67°, β = 55.67°, γ = 55.67°
Atoms (fractional coordinates):
Nd 0.0000 0.5000 0.5000
Nd 0.5000 0.0000 0.5000
Nd 0.5000 0.5000 0.0000
Tl 0.0000 0.0000 0.5000
Tl 0.0000 0.5000 0.0000
Tl 0.5000 0.0000 0.0000
Tl 0.5000 0.5000 0.5000
Sn 0.0000 0.0000 0.0000
S 0.2292 0.2292 0.7431
S 0.2292 0.7431 0.2292
S 0.2569 0.7708 0.7708
S 0.2649 0.2649 0.2649
S 0.7351 0.7351 0.7351
S 0.7431 0.2292 0.2292
S 0.7708 0.2569 0.7708
S 0.7708 0.7708 0.2569



Which value of mass density does entry 9 give? 6.055 Mg/m³